(1)
Density functional theory data (PBE) for PrZnHg after structural relaxation.

Cell lengths 4.808, 4.808, 4.808 Å; angles 60.00, 60.00, 60.00 degrees
Positions (direct):
Hg 0.250 0.250 0.250
Zn 0.000 0.000 0.000
Pr 0.750 0.750 0.750

Summary:
energy	-2.3817	eV/atom
energy relative to the elements	-0.27	eV per atom
SG	No. 216



(2)
Density functional theory data (PBE) for HgPt7 after structural relaxation.

Cell lengths 2.804, 3.824, 34.105 Å; angles 90.00, 90.00, 90.00 degrees
Positions (direct):
Pt 0.000 0.000 0.437
Pt 0.500 0.500 0.309
Pt 0.000 0.000 0.691
Pt 0.500 0.500 0.395
Pt 0.500 0.500 0.479
Pt 0.500 0.500 0.733
Pt 0.500 0.500 0.223
Hg 0.500 0.500 0.826
Pt 0.000 0.000 0.352
Pt 0.000 0.000 0.605
Pt 0.000 0.000 0.521
Pt 0.000 0.000 0.777
Hg 0.000 0.000 0.174
Pt 0.000 0.000 0.267
Pt 0.500 0.500 0.563
Pt 0.500 0.500 0.648

Summary:
energy	-5.2736	eV/atom
energy relative to the elements	0.06	eV per atom
SG	No. 59
distance to the lowest polymorph of the same formula	38.9	meV per atom



(3)
Density functional theory data (PBE) for HgPt7 after structural relaxation.

Cell lengths 2.818, 2.818, 44.243 Å; angles 90.00, 90.00, 90.00 degrees
Positions (direct):
Pt 0.000 0.500 0.346
Pt 0.000 0.500 0.610
Pt 0.500 0.000 0.301
Pt 0.500 0.000 0.743
Pt 0.000 0.500 0.257
Pt 0.500 0.000 0.478
Hg 0.000 0.500 0.161
Pt 0.500 0.000 0.390
Hg 0.500 0.000 0.839
Pt 0.000 0.500 0.788
Pt 0.000 0.500 0.699
Pt 0.500 0.000 0.654
Pt 0.500 0.000 0.566
Pt 0.500 0.000 0.212
Pt 0.000 0.500 0.434
Pt 0.000 0.500 0.522

Summary:
energy	-5.2769	eV/atom
energy relative to the elements	0.06	eV per atom
SG	No. 129
distance to the lowest polymorph of the same formula	35.7	meV per atom



(4)
Density functional theory data (PBE) for HgPt15 after structural relaxation.

Cell lengths 5.545, 3.920, 35.839 Å; angles 90.00, 90.00, 90.00 degrees
Positions (direct):
Pt 0.625 0.250 0.720
Pt 0.125 0.250 0.480
Pt 0.127 0.250 0.240
Pt 0.625 0.250 0.480
Pt 0.375 0.750 0.441
Pt 0.623 0.250 0.321
Pt 0.625 0.250 0.559
Pt 0.875 0.750 0.440
Pt 0.875 0.750 0.361
Pt 0.375 0.750 0.520
Pt 0.375 0.750 0.280
Pt 0.377 0.750 0.760
Pt 0.873 0.750 0.679
Pt 0.874 0.750 0.599
Pt 0.875 0.750 0.205
Pt 0.125 0.250 0.795
Pt 0.873 0.750 0.760
Pt 0.377 0.750 0.679
Pt 0.125 0.250 0.560
Pt 0.376 0.750 0.599
Pt 0.126 0.250 0.401
Pt 0.875 0.750 0.283
Pt 0.125 0.250 0.639
Pt 0.623 0.250 0.240
Pt 0.127 0.250 0.321
Hg 0.375 0.750 0.192
Pt 0.125 0.250 0.717
Pt 0.625 0.250 0.639
Pt 0.624 0.250 0.401
Hg 0.625 0.250 0.808
Pt 0.375 0.750 0.361
Pt 0.875 0.750 0.520

Summary:
energy	-5.6048	eV/atom
energy relative to the elements	0.09	eV per atom
SG	No. 11
distance to the lowest polymorph of the same formula	40.4	meV per atom



(5)
Density functional theory data (PBE) for HgPt15 after structural relaxation.

Cell lengths 4.785, 35.053, 4.786 Å; angles 90.00, 109.17, 90.00 degrees
Positions (direct):
Pt 0.000 0.480 0.500
Pt 0.000 0.643 0.500
Pt 0.500 0.684 0.500
Pt 0.500 0.804 0.000
Pt 0.500 0.768 0.500
Pt 0.000 0.398 0.500
Pt 0.000 0.726 0.500
Pt 0.500 0.520 0.500
Pt 0.500 0.725 0.000
Pt 0.000 0.684 0.000
Pt 0.000 0.768 0.000
Pt 0.500 0.480 0.000
Hg 0.000 0.182 0.000
Pt 0.500 0.643 0.000
Pt 0.500 0.439 0.500
Pt 0.000 0.520 0.000
Pt 0.000 0.274 0.000
Pt 0.500 0.316 0.000
Pt 0.500 0.196 0.500
Pt 0.500 0.232 0.000
Pt 0.000 0.439 0.000
Pt 0.000 0.316 0.500
Pt 0.500 0.602 0.500
Hg 0.000 0.818 0.500
Pt 0.000 0.357 0.000
Pt 0.500 0.561 0.000
Pt 0.000 0.561 0.500
Pt 0.000 0.232 0.500
Pt 0.500 0.357 0.500
Pt 0.000 0.602 0.000
Pt 0.500 0.275 0.500
Pt 0.500 0.398 0.000

Summary:
energy	-5.6022	eV/atom
energy relative to the elements	0.09	eV per atom
SG	No. 13
distance to the lowest polymorph of the same formula	43.0	meV per atom



(6)
Density functional theory data (PBE) for HgPt after structural relaxation.

Cell lengths 3.012, 3.012, 4.622 Å; angles 90.00, 90.00, 120.00 degrees
Positions (direct):
Hg 0.667 0.333 0.750
Pt 0.333 0.667 0.250

Summary:
energy	-3.0429	eV/atom
energy relative to the elements	0.13	eV per atom
SG	No. 187



(7)
Density functional theory data (PBE) for HgPt7 after structural relaxation.

Cell lengths 5.666, 5.666, 5.666 Å; angles 60.00, 60.00, 60.00 degrees
Positions (direct):
Hg 0.000 0.000 0.000
Pt 0.500 0.000 0.500
Pt 0.000 0.000 0.500
Pt 0.500 0.000 0.000
Pt 0.500 0.500 0.500
Pt 0.500 0.500 0.000
Pt 0.000 0.500 0.500
Pt 0.000 0.500 0.000

Summary:
energy	-5.3126	eV/atom
energy relative to the elements	0.02	eV per atom
SG	No. 225
distance to the lowest polymorph of the same formula	0.0	meV per atom



(8)
Density functional theory data (PBE) for HgPt15 after structural relaxation.

Cell lengths 5.552, 2.799, 44.922 Å; angles 90.00, 90.00, 90.00 degrees
Positions (direct):
Pt 0.375 0.750 0.611
Pt 0.625 0.250 0.389
Pt 0.120 0.250 0.212
Pt 0.625 0.250 0.566
Pt 0.370 0.750 0.788
Pt 0.626 0.250 0.301
Pt 0.375 0.750 0.169
Pt 0.625 0.250 0.743
Pt 0.625 0.250 0.831
Pt 0.125 0.250 0.744
Pt 0.875 0.750 0.256
Hg 0.125 0.250 0.844
Pt 0.125 0.250 0.478
Pt 0.875 0.750 0.345
Pt 0.375 0.750 0.522
Pt 0.880 0.750 0.788
Pt 0.630 0.250 0.212
Pt 0.374 0.750 0.699
Hg 0.875 0.750 0.156
Pt 0.875 0.750 0.434
Pt 0.375 0.750 0.345
Pt 0.125 0.250 0.566
Pt 0.625 0.250 0.655
Pt 0.875 0.750 0.522
Pt 0.875 0.750 0.611
Pt 0.124 0.250 0.301
Pt 0.876 0.750 0.699
Pt 0.125 0.250 0.389
Pt 0.625 0.250 0.478
Pt 0.125 0.250 0.655
Pt 0.375 0.750 0.257
Pt 0.375 0.750 0.434

Summary:
energy	-5.6323	eV/atom
energy relative to the elements	0.06	eV per atom
SG	No. 11
distance to the lowest polymorph of the same formula	12.8	meV per atom



(9)
Density functional theory data (PBE) for HgPt10 after structural relaxation.

Cell lengths 4.777, 4.777, 31.341 Å; angles 90.17, 90.17, 47.67 degrees
Positions (direct):
Hg 0.857 0.857 0.184
Pt 0.549 0.549 0.456
Pt 0.451 0.451 0.544
Pt 0.751 0.751 0.574
Pt 0.461 0.461 0.248
Pt 0.849 0.849 0.485
Pt 0.944 0.944 0.691
Pt 0.949 0.949 0.397
Pt 0.056 0.056 0.309
Pt 0.647 0.647 0.662
Pt 0.353 0.353 0.338
Pt 0.249 0.249 0.426
Pt 0.539 0.539 0.752
Pt 0.159 0.159 0.221
Pt 0.349 0.349 0.632
Hg 0.143 0.143 0.816
Pt 0.150 0.150 0.515
Pt 0.759 0.759 0.279
Pt 0.841 0.841 0.779
Pt 0.651 0.651 0.368
Pt 0.051 0.051 0.603
Pt 0.241 0.241 0.721

Summary:
energy	-5.4471	eV/atom
energy relative to the elements	0.09	eV per atom
SG	No. 12



(10)
Density functional theory data (PBE) for HgPt15 after structural relaxation.

Cell lengths 7.836, 2.780, 34.979 Å; angles 90.00, 90.01, 90.00 degrees
Positions (direct):
Pt 0.633 0.250 0.233
Pt 0.368 0.750 0.683
Pt 0.125 0.250 0.642
Pt 0.882 0.750 0.766
Pt 0.624 0.250 0.643
Pt 0.118 0.250 0.234
Pt 0.376 0.750 0.520
Hg 0.875 0.750 0.182
Hg 0.125 0.250 0.818
Pt 0.628 0.250 0.398
Pt 0.873 0.750 0.440
Pt 0.624 0.250 0.480
Pt 0.377 0.750 0.438
Pt 0.877 0.750 0.601
Pt 0.124 0.250 0.726
Pt 0.375 0.750 0.279
Pt 0.123 0.250 0.399
Pt 0.623 0.250 0.562
Pt 0.375 0.750 0.201
Pt 0.376 0.750 0.357
Pt 0.875 0.750 0.358
Pt 0.127 0.250 0.560
Pt 0.367 0.750 0.767
Pt 0.881 0.750 0.683
Pt 0.625 0.250 0.799
Pt 0.126 0.250 0.479
Pt 0.876 0.750 0.274
Pt 0.372 0.750 0.602
Pt 0.119 0.250 0.317
Pt 0.625 0.250 0.721
Pt 0.874 0.750 0.521
Pt 0.632 0.250 0.317

Summary:
energy	-5.5948	eV/atom
energy relative to the elements	0.10	eV per atom
SG	No. 11
distance to the lowest polymorph of the same formula	50.4	meV per atom



(11)
Density functional theory data (PBE) for Hg2Pt9 after structural relaxation.

Cell lengths 2.830, 2.830, 37.351 Å; angles 90.00, 90.00, 120.00 degrees
Positions (direct):
Pt 0.000 0.000 0.180
Pt 0.667 0.333 0.060
Pt 0.000 0.000 0.820
Hg 0.667 0.333 0.689
Pt 0.000 0.000 0.000
Pt 0.333 0.667 0.940
Hg 0.333 0.667 0.311
Pt 0.333 0.667 0.120
Pt 0.667 0.333 0.880
Pt 0.667 0.333 0.242
Pt 0.333 0.667 0.758

Summary:
energy	-4.9194	eV/atom
energy relative to the elements	0.09	eV per atom
SG	No. 164



(12)
Density functional theory data (PBE) for HgPt15 after structural relaxation.

Cell lengths 3.941, 3.940, 45.029 Å; angles 90.00, 90.00, 90.00 degrees
Positions (direct):
Pt 0.250 0.500 0.978
Pt 0.250 0.500 0.244
Pt 0.750 0.500 0.846
Pt 0.250 0.000 0.022
Pt 0.750 0.500 0.670
Pt 0.250 0.500 0.330
Pt 0.750 0.000 0.243
Pt 0.750 0.500 0.934
Pt 0.250 0.000 0.199
Pt 0.750 0.000 0.801
Pt 0.750 0.500 0.288
Pt 0.250 0.500 0.712
Pt 0.750 0.000 0.066
Pt 0.250 0.000 0.934
Pt 0.250 0.000 0.110
Pt 0.750 0.000 0.890
Pt 0.250 0.500 0.154
Pt 0.250 0.500 0.801
Pt 0.250 0.000 0.845
Pt 0.250 0.000 0.757
Pt 0.250 0.000 0.288
Hg 0.250 0.000 0.656
Pt 0.750 0.000 0.155
Pt 0.750 0.000 0.712
Pt 0.750 0.500 0.022
Pt 0.750 0.500 0.199
Pt 0.250 0.500 0.066
Hg 0.750 0.000 0.344
Pt 0.750 0.500 0.756
Pt 0.750 0.000 0.978
Pt 0.750 0.500 0.110
Pt 0.250 0.500 0.890

Summary:
energy	-5.6452	eV/atom
energy relative to the elements	0.05	eV per atom
SG	No. 51
distance to the lowest polymorph of the same formula	0.0	meV per atom



(13)
Density functional theory data (PBE) for HgPt after structural relaxation.

Cell lengths 4.314, 4.314, 7.041 Å; angles 90.00, 90.00, 120.00 degrees
Positions (direct):
Hg 0.000 0.000 0.000
Hg 0.333 0.667 0.500
Pt 0.333 0.667 0.875
Pt 0.000 0.000 0.375

Summary:
energy	-2.3809	eV/atom
energy relative to the elements	0.80	eV per atom
SG	No. 186



(14)
Density functional theory data (PBE) for Hg2Pt3 after structural relaxation.

Cell lengths 6.868, 6.868, 4.016 Å; angles 90.00, 90.00, 90.00 degrees
Positions (direct):
Hg 0.329 0.171 0.500
Hg 0.671 0.829 0.500
Pt 0.366 0.866 0.000
Pt 0.500 0.500 0.000
Pt 0.866 0.634 0.000
Hg 0.829 0.329 0.500
Pt 0.134 0.366 0.000
Hg 0.171 0.671 0.500
Pt 0.000 0.000 0.000
Pt 0.634 0.134 0.000

Summary:
energy	-3.6425	eV/atom
energy relative to the elements	0.11	eV per atom
SG	No. 127



(15)
Density functional theory data (PBE) for HgPt2 after structural relaxation.

Cell lengths 5.363, 5.363, 5.363 Å; angles 60.00, 60.00, 60.00 degrees
Positions (direct):
Hg 0.250 0.250 0.250
Pt 0.625 0.625 0.125
Pt 0.625 0.125 0.625
Pt 0.625 0.625 0.625
Pt 0.125 0.625 0.625
Hg 0.000 0.000 0.000

Summary:
energy	-4.0038	eV/atom
energy relative to the elements	0.13	eV per atom
SG	No. 227



(16)
Density functional theory data (PBE) for RbHgPt after structural relaxation.

Cell lengths 5.425, 5.425, 5.425 Å; angles 60.00, 60.00, 60.00 degrees
Positions (direct):
Rb 0.000 0.000 0.000
Pt 0.750 0.750 0.750
Hg 0.250 0.250 0.250

Summary:
energy	-1.6926	eV/atom
SG	No. 216
distance to the lowest polymorph of the same formula	526.2	meV per atom



(17)
Density functional theory data (PBE) for RbHgPt after structural relaxation.

Cell lengths 5.052, 5.052, 5.052 Å; angles 60.00, 60.00, 60.00 degrees
Positions (direct):
Hg 0.250 0.250 0.250
Rb 0.750 0.750 0.750
Pt 0.000 0.000 0.000

Summary:
energy	-2.2187	eV/atom
SG	No. 216
distance to the lowest polymorph of the same formula	0.0	meV per atom



(18)
Density functional theory data (PBE) for RbHg3PtS4 after structural relaxation.

Cell lengths 6.681, 6.681, 6.681 Å; angles 90.00, 90.00, 90.00 degrees
Site moments in Bohr magnetons follow the coordinates.
Positions (direct):
S 0.705 0.295 0.705  0.17
S 0.295 0.705 0.705  0.16
S 0.295 0.295 0.295  0.13
Pt 0.500 0.500 0.500  0.83
Hg 0.500 0.000 0.500  0.00
Hg 0.500 0.500 0.000  0.01
Rb 0.000 0.000 0.000  0.01
S 0.705 0.705 0.295  0.16
Hg 0.000 0.500 0.500  0.00

Summary:
energy	-2.7292	eV/atom
SG	No. 215